Computed, not measured: YHfTi4 after structural relaxation at the PBE level of DFT.

- E: -7.767 eV/atom
- SG: F-43m

Cell: 5.6382 5.6382 5.6382 Å, 60.00 60.00 60.00°
Element x y z (fractional)
Y (0.0000, 0.0000, 0.0000)
Hf (0.7500, 0.7500, 0.7500)
Ti (0.3776, 0.3776, 0.3776)
Ti (0.3776, 0.3776, 0.8672)
Ti (0.3776, 0.8672, 0.3776)
Ti (0.8672, 0.3776, 0.3776)



Computed, not measured: Ac3Tm3ScSe8 after structural relaxation at the PBE level of DFT.

- E: -5.799 eV/atom
- SG: R-3m

Cell: 8.5767 8.5767 8.5767 Å, 57.46 57.46 57.46°
Element x y z (fractional)
Ac (0.0000, 0.5000, 0.5000)
Ac (0.5000, 0.0000, 0.5000)
Ac (0.5000, 0.5000, 0.0000)
Tm (0.0000, 0.0000, 0.5000)
Tm (0.0000, 0.5000, 0.0000)
Tm (0.5000, 0.0000, 0.0000)
Sc (0.5000, 0.5000, 0.5000)
Se (0.2387, 0.2387, 0.2387)
Se (0.2403, 0.7384, 0.7384)
Se (0.2616, 0.2616, 0.7597)
Se (0.2616, 0.7597, 0.2616)
Se (0.7384, 0.2403, 0.7384)
Se (0.7384, 0.7384, 0.2403)
Se (0.7597, 0.2616, 0.2616)
Se (0.7613, 0.7613, 0.7613)



Copy entry 1 word for word.
Computed, not measured: YHfTi4 after structural relaxation at the PBE level of DFT.

- E: -7.767 eV/atom
- SG: F-43m

Cell: 5.6382 5.6382 5.6382 Å, 60.00 60.00 60.00°
Element x y z (fractional)
Y (0.0000, 0.0000, 0.0000)
Hf (0.7500, 0.7500, 0.7500)
Ti (0.3776, 0.3776, 0.3776)
Ti (0.3776, 0.3776, 0.8672)
Ti (0.3776, 0.8672, 0.3776)
Ti (0.8672, 0.3776, 0.3776)



Among the records above, which one has the lowest E? YHfTi4